# 1
A relaxed structure of Ac3CdSn2Pd6, computed with PBE-GGA.

density of states at the Fermi level: 5.48 states/eV per cell

Cell: 6.0428 6.0428 9.1500 Å, 90.00 90.00 120.00°
Space group P-3m1 (No. 164)
Unique sites:
Ac 0.0000 0.0000 0.0000 x1
Ac 0.3333 0.6667 0.6393 x2
Cd 0.0000 0.0000 0.5000 x1
Sn 0.3333 0.6667 0.0328 x2
Pd 0.1761 0.3521 0.2806 x6

# 2
A relaxed structure of Ac2CdSn3Pd6, computed with PBE-GGA.

density of states at the Fermi level: 7.73 states/eV per cell

Cell: 4.2759 4.2759 16.9522 Å, 90.00 90.00 90.00°
Space group P4/mmm (No. 123)
Unique sites:
Ac 0.0000 0.0000 0.1969 x2
Cd 0.0000 0.0000 0.5000 x1
Sn 0.5000 0.5000 0.0000 x1
Sn 0.5000 0.5000 0.3086 x2
Pd 0.0000 0.5000 0.3977 x4
Pd 0.5000 0.5000 0.1512 x2

Per-record calculated volume, Å³ per cell: 289.35; 309.94
Per-record calculated density, g/cm3: 9.58; 8.36
Per-record E_form, eV/f.u.: -8.14; -5.40